TlIn2Rh: optimized geometry, GGA-PBE.

DFT formation energy in eV/atom: 0.053
Crystal system: monoclinic

Lattice parameters (Å, degrees): 4.563 3.851 5.555 74.13 90.00 90.00
Positions (direct):
Tl 0.500 0.500 0.500
In 0.000 0.852 0.780
In 0.000 0.148 0.220
Rh 0.500 0.500 0.000

***

BaLiMnSe3: optimized geometry, GGA-PBE.

E_form (uncorrected) in eV/atom: -1.15
Crystal system: orthorhombic

Lattice parameters (Å, degrees): 6.767 6.915 7.573 117.17 90.00 90.00
Site moments in Bohr magnetons follow the coordinates.
Positions (direct):
Ba 0.750 0.205 0.411  0.01
Ba 0.250 0.795 0.589  0.01
Li 0.250 0.430 0.860  0.02
Li 0.750 0.570 0.140  0.02
Mn 0.250 0.059 0.119  3.64
Mn 0.750 0.941 0.881  3.64
Se 0.250 0.244 0.488  0.06
Se 0.000 0.239 0.000  -0.06
Se 0.500 0.761 0.000  -0.06
Se 0.500 0.239 0.000  -0.06
Se 0.000 0.761 0.000  -0.06
Se 0.750 0.756 0.512  0.06

***

RbMnAlB2: optimized geometry, GGA-PBE.

DFT formation energy in eV/atom: 1.474
Crystal system: tetragonal

Lattice parameters (Å, degrees): 4.432 4.929 4.432 90.00 90.00 90.00
Site moments in Bohr magnetons follow the coordinates.
Positions (direct):
B 0.000 0.000 0.500  -0.10
B 0.500 0.000 0.000  -0.12
Mn 0.000 0.500 0.000  3.81
Al 0.000 0.000 0.000  -0.01
Rb 0.500 0.500 0.500  0.00

***

K2MoSe4: optimized geometry, GGA-PBE.

E_form (uncorrected) in eV/atom: -0.82
Crystal system: orthorhombic

Lattice parameters (Å, degrees): 7.204 9.991 12.745 90.00 90.00 90.00
Positions (direct):
K 0.750 0.549 0.346
K 0.250 0.451 0.654
K 0.250 0.951 0.846
K 0.750 0.049 0.154
K 0.750 0.846 0.615
K 0.250 0.154 0.385
K 0.250 0.654 0.115
K 0.750 0.346 0.885
Mo 0.750 0.751 0.933
Mo 0.250 0.249 0.067
Mo 0.250 0.749 0.433
Mo 0.750 0.251 0.567
Se 0.491 0.646 0.862
Se 0.509 0.354 0.138
Se 0.509 0.854 0.362
Se 0.991 0.354 0.138
Se 0.491 0.146 0.638
Se 0.009 0.646 0.862
Se 0.009 0.146 0.638
Se 0.991 0.854 0.362
Se 0.750 0.979 0.886
Se 0.250 0.021 0.114
Se 0.250 0.521 0.386
Se 0.750 0.479 0.614
Se 0.750 0.222 0.385
Se 0.250 0.778 0.615
Se 0.250 0.278 0.885
Se 0.750 0.722 0.115

***

Ho4Sb3C: optimized geometry, GGA-PBE.

E_form (uncorrected) in eV/atom: -0.57
Crystal system: orthorhombic

Lattice parameters (Å, degrees): 6.025 8.796 9.498 90.00 90.00 90.00
Positions (direct):
Ho 0.066 0.920 0.000
Ho 0.617 0.185 0.000
Ho 0.069 0.310 0.209
Ho 0.569 0.690 0.291
Ho 0.117 0.815 0.500
Ho 0.566 0.080 0.500
Ho 0.569 0.690 0.709
Ho 0.069 0.310 0.791
Sb 0.561 0.848 0.000
Sb 0.066 0.657 0.220
Sb 0.566 0.343 0.280
Sb 0.061 0.152 0.500
Sb 0.566 0.343 0.720
Sb 0.066 0.657 0.780
C 0.001 0.181 0.000
C 0.501 0.819 0.500

***

NaCrTcAs2: optimized geometry, GGA-PBE.

DFT formation energy in eV/atom: 0.628
Crystal system: tetragonal

Lattice parameters (Å, degrees): 4.717 4.537 4.717 90.00 90.00 90.00
Site moments in Bohr magnetons follow the coordinates.
Positions (direct):
Cr 0.000 0.000 0.000  -0.06
As 0.000 0.000 0.500  -0.02
As 0.500 0.000 0.000  -0.01
Tc 0.000 0.500 0.000  1.16
Na 0.500 0.500 0.500  0.00

***

SiBrCl2: optimized geometry, GGA-PBE.

E_form (uncorrected) in eV/atom: 0.17
Crystal system: tetragonal

Lattice parameters (Å, degrees): 3.298 3.298 9.627 90.00 90.00 90.00
Site moments in Bohr magnetons follow the coordinates.
Positions (direct):
Br 0.500 0.500 0.671  0.00
Cl 0.000 0.000 0.996  0.41
Cl 0.500 0.500 0.336  0.00
Si 0.000 0.000 0.496  0.00

***

YBH2Ru: optimized geometry, GGA-PBE.

E_tot in eV per atom: -5.0461
Crystal system: tetragonal

Lattice parameters (Å, degrees): 3.526 5.260 3.526 90.00 90.00 90.00
Site moments in Bohr magnetons follow the coordinates.
Positions (direct):
Y 0.000 0.000 0.000  -0.01
Ru 0.500 0.500 0.500  0.49
B 0.000 0.500 0.000  -0.03
H 0.000 0.000 0.500  0.00
H 0.500 0.000 0.000  0.00

***

CuAgRh2: optimized geometry, GGA-PBE.

DFT formation energy in eV/atom: 0.278
Crystal system: tetragonal

Lattice parameters (Å, degrees): 3.789 3.789 4.104 90.00 90.00 90.00
Site moments in Bohr magnetons follow the coordinates.
Positions (direct):
Ag 0.500 0.000 0.500  0.03
Cu 0.000 0.500 0.500  0.04
Rh 0.000 0.000 0.000  0.42
Rh 0.500 0.500 0.000  0.42

***

K2CaFe: optimized geometry, GGA-PBE.

DFT formation energy in eV/atom: 0.909
Crystal system: cubic

Lattice parameters (Å, degrees): 6.123 6.123 6.123 60.00 60.00 60.00
Site moments in Bohr magnetons follow the coordinates.
Positions (direct):
K 0.250 0.250 0.250  -0.01
K 0.750 0.750 0.750  -0.01
Ca 0.000 0.000 0.000  -0.08
Fe 0.500 0.500 0.500  3.11

***

BPbAu3: optimized geometry, GGA-PBE.

DFT formation energy in eV/atom: 0.172
Crystal system: cubic

Lattice parameters (Å, degrees): 4.554 4.554 4.554 90.00 90.00 90.00
Positions (direct):
Pb 0.500 0.500 0.500
B 0.000 0.000 0.000
Au 0.000 0.500 0.000
Au 0.000 0.000 0.500
Au 0.500 0.000 0.000

***

Tb3AlCu8: optimized geometry, GGA-PBE.

DFT formation energy in eV/atom: -0.201
Crystal system: trigonal

Lattice parameters (Å, degrees): 5.168 5.168 8.940 73.20 73.20 60.00
Positions (direct):
Tb 0.379 0.379 0.862
Tb 0.993 0.993 0.021
Tb 0.505 0.505 0.486
Al 0.868 0.868 0.396
Cu 0.942 0.434 0.190
Cu 0.443 0.938 0.681
Cu 0.434 0.434 0.190
Cu 0.938 0.938 0.681
Cu 0.189 0.189 0.434
Cu 0.687 0.687 0.938
Cu 0.434 0.942 0.190
Cu 0.938 0.443 0.681

***

Dy3Tl: optimized geometry, GGA-PBE.

DFT formation energy in eV/atom: -0.096
Crystal system: orthorhombic

Lattice parameters (Å, degrees): 5.494 3.508 6.090 90.00 90.00 90.00
Positions (direct):
Tl 0.500 0.000 0.679
Dy 0.000 0.000 0.993
Dy 0.000 0.500 0.502
Dy 0.500 0.500 0.160

***

TiCrCuS4: optimized geometry, GGA-PBE.

E_form (uncorrected) in eV/atom: -0.69
Crystal system: triclinic

Lattice parameters (Å, degrees): 6.312 7.295 12.863 98.21 95.11 89.87
Site moments in Bohr magnetons follow the coordinates.
Positions (direct):
Ti 0.855 0.299 0.721  0.37
Ti 0.144 0.708 0.285  0.27
Ti 0.226 0.898 0.004  0.22
Ti 0.626 0.435 0.277  0.31
Cr 0.762 0.117 0.998  2.85
Cr 0.366 0.562 0.722  2.44
Cr 0.604 0.949 0.273  3.00
Cr 0.358 0.037 0.719  2.78
Cu 0.890 0.811 0.715  -0.05
Cu 0.133 0.188 0.285  -0.02
Cu 0.744 0.628 0.988  -0.13
Cu 0.259 0.370 0.002  -0.14
S 0.900 0.351 0.901  -0.06
S 0.126 0.656 0.106  -0.03
S 0.907 0.855 0.897  -0.06
S 0.097 0.157 0.104  -0.06
S 0.804 0.207 0.347  -0.06
S 0.199 0.775 0.640  -0.13
S 0.801 0.716 0.341  -0.05
S 0.193 0.288 0.659  -0.09
S 0.679 0.031 0.651  -0.06
S 0.312 0.970 0.369  -0.05
S 0.688 0.546 0.658  -0.05
S 0.305 0.461 0.353  -0.01
S 0.608 0.899 0.094  -0.13
S 0.415 0.095 0.897  -0.12
S 0.610 0.388 0.098  -0.06
S 0.390 0.603 0.895  -0.13

***

BaMnBe2: optimized geometry, GGA-PBE.

DFT formation energy in eV/atom: 0.686
Crystal system: tetragonal

Lattice parameters (Å, degrees): 3.077 3.077 7.656 90.00 90.00 90.00
Site moments in Bohr magnetons follow the coordinates.
Positions (direct):
Be 0.000 0.000 0.100  0.00
Be 0.500 0.500 0.231  -0.04
Mn 0.000 0.000 0.401  3.48
Ba 0.500 0.500 0.768  -0.03

***

Pr2SmPt: optimized geometry, GGA-PBE.

DFT formation energy in eV/atom: -0.457
Crystal system: tetragonal

Lattice parameters (Å, degrees): 3.716 3.716 8.671 90.00 90.00 90.00
Positions (direct):
Pr 0.000 0.000 0.803
Pr 0.000 0.000 0.197
Sm 0.500 0.500 0.500
Pt 0.500 0.500 0.000

***

NaSnGeAu: optimized geometry, GGA-PBE.

DFT formation energy in eV/atom: -0.074
Crystal system: cubic

Lattice parameters (Å, degrees): 4.942 4.942 4.942 60.00 60.00 60.00
Positions (direct):
Na 0.500 0.500 0.500
Ge 0.250 0.250 0.250
Au 0.750 0.750 0.750
Sn 0.000 0.000 0.000

***

Pu2Mn2Co15: optimized geometry, GGA-PBE.

DFT formation energy in eV/atom: 0.080
Crystal system: trigonal

Lattice parameters (Å, degrees): 6.261 6.261 6.261 83.44 83.44 83.44
Site moments in Bohr magnetons follow the coordinates.
Positions (direct):
Pu 0.344 0.344 0.344  4.53
Pu 0.656 0.656 0.656  4.53
Mn 0.107 0.107 0.107  -2.94
Mn 0.893 0.893 0.893  -2.94
Co 0.500 0.000 0.000  1.22
Co 0.000 0.000 0.500  1.22
Co 0.000 0.500 0.000  1.22
Co 0.000 0.713 0.287  1.40
Co 0.713 0.287 0.000  1.40
Co 0.287 0.000 0.713  1.40
Co 0.287 0.713 0.000  1.40
Co 0.713 0.000 0.287  1.40
Co 0.000 0.287 0.713  1.40
Co 0.152 0.651 0.651  1.17
Co 0.651 0.651 0.152  1.17
Co 0.651 0.152 0.651  1.17
Co 0.848 0.349 0.349  1.17
Co 0.349 0.349 0.848  1.17
Co 0.349 0.848 0.349  1.17

***

LiTl2Cl: optimized geometry, GGA-PBE.

E_form (uncorrected) in eV/atom: -0.30
Crystal system: trigonal

Lattice parameters (Å, degrees): 8.889 8.889 8.889 24.15 24.15 24.15
Positions (direct):
Cl 0.250 0.250 0.250
Li 0.750 0.750 0.750
Tl 0.004 0.004 0.004
Tl 0.496 0.496 0.496

***

CsCd2CuF8: optimized geometry, GGA-PBE.

E_form (uncorrected) in eV/atom: -1.97
Crystal system: triclinic

Lattice parameters (Å, degrees): 5.225 5.332 7.688 76.02 78.63 78.20
Site moments in Bohr magnetons follow the coordinates.
Positions (direct):
Cs 0.000 0.000 0.500  0.00
Cd 0.445 0.440 0.748  0.01
Cd 0.555 0.560 0.252  0.01
Cu 0.000 0.000 0.000  1.06
F 0.141 0.730 0.195  0.14
F 0.747 0.785 0.000  0.13
F 0.750 0.179 0.171  0.13
F 0.859 0.270 0.805  0.14
F 0.253 0.215 0.000  0.13
F 0.250 0.821 0.829  0.13
F 0.610 0.699 0.492  0.01
F 0.390 0.301 0.508  0.01

***

Going through the records in order, we get density values of 9.49 4.59 3.24 3.55 6.84 5.31 2.84 5.15 10.63 1.78 14.23 8.62 9.79 3.32 4.82 8.70 8.00 10.21 7.25 4.74 g cm⁻³.